[1]
VASP calculation (GGA-PBE) on a relaxed MnRe2Tc crystal.

Values from the calculation:
spin magnetization: 1.156 μB per formula unit
offset from the most stable computed form: 26.3 meV per atom
calculated total energy: -88.08 eV for the cell shown
N(E_F): 1.010 states/eV per atom
calculated formation energy: 2.27 kcal/mol of atoms
V: 113.3 Å³/cell

```
data_MnRe2Tc
_cell_length_a 8.951
_cell_length_b 2.726
_cell_length_c 4.716
_cell_angle_alpha 90.00
_cell_angle_beta 100.05
_cell_angle_gamma 90.00
_symmetry_space_group_name_H-M 'C 1 2/m 1'
_symmetry_Int_Tables_number 12
_symmetry_space_group_name_Hall '-C 2y'
loop_
_atom_site_label
_atom_site_fract_x
_atom_site_fract_y
_atom_site_fract_z
Mn1 0.000 0.000 0.000
Re1 0.247 0.500 0.244
Tc1 0.000 0.500 0.500
```



[2]
VASP calculation (GGA-PBE) on a relaxed MnRe3Tc crystal.

Values from the calculation:
spin magnetization: 0.848 μB per formula unit
offset from the most stable computed form: 0.0 meV per atom
calculated total energy: -49.06 eV for the cell shown
N(E_F): 1.295 states/eV per atom
calculated formation energy: 36.05 kcal/mol of atoms
V: 83.5 Å³/cell

```
data_MnRe3Tc
_cell_length_a 4.370
_cell_length_b 4.370
_cell_length_c 4.370
_cell_angle_alpha 90.00
_cell_angle_beta 90.00
_cell_angle_gamma 90.00
_symmetry_space_group_name_H-M 'P m -3 m'
_symmetry_Int_Tables_number 221
_symmetry_space_group_name_Hall '-P 4 2 3'
loop_
_atom_site_label
_atom_site_fract_x
_atom_site_fract_y
_atom_site_fract_z
Mn1 0.000 0.000 0.000
Re1 0.000 0.000 0.500
Tc1 0.500 0.500 0.500
```



[3]
VASP calculation (GGA-PBE) on a relaxed MnRe2Tc crystal.

Values from the calculation:
spin magnetization: 1.073 μB per formula unit
offset from the most stable computed form: 29.8 meV per atom
calculated total energy: -88.05 eV for the cell shown
N(E_F): 1.054 states/eV per atom
calculated formation energy: 2.35 kcal/mol of atoms
V: 113.0 Å³/cell

```
data_MnRe2Tc
_cell_length_a 8.924
_cell_length_b 2.726
_cell_length_c 4.715
_cell_angle_alpha 90.00
_cell_angle_beta 99.96
_cell_angle_gamma 90.00
_symmetry_space_group_name_H-M 'C 1 m 1'
_symmetry_Int_Tables_number 8
_symmetry_space_group_name_Hall 'C -2y'
loop_
_atom_site_label
_atom_site_fract_x
_atom_site_fract_y
_atom_site_fract_z
Mn1 0.000 0.000 0.000
Re1 0.000 0.500 0.498
Re2 0.254 0.000 0.761
Tc1 0.247 0.500 0.244
```



[4]
VASP calculation (GGA-PBE) on a relaxed TiMnReTc crystal.

Values from the calculation:
spin magnetization: 0.008 μB per formula unit
calculated total energy: -162.84 eV for the cell shown
N(E_F): 0.769 states/eV per atom
calculated formation energy: -4.80 kcal/mol of atoms
V: 223.7 Å³/cell

```
data_TiMnReTc
_cell_length_a 6.070
_cell_length_b 6.070
_cell_length_c 6.070
_cell_angle_alpha 90.00
_cell_angle_beta 90.00
_cell_angle_gamma 90.00
_symmetry_space_group_name_H-M 'F -4 3 m'
_symmetry_Int_Tables_number 216
_symmetry_space_group_name_Hall 'F -4 2 3'
loop_
_atom_site_label
_atom_site_fract_x
_atom_site_fract_y
_atom_site_fract_z
Ti1 0.000 0.000 0.000
Mn1 0.250 0.250 0.750
Re1 0.000 0.000 0.500
Tc1 0.250 0.250 0.250
```



[5]
VASP calculation (GGA-PBE) on a relaxed MnVReTc crystal.

Values from the calculation:
spin magnetization: 2.148 μB per formula unit
calculated total energy: -165.74 eV for the cell shown
N(E_F): 1.402 states/eV per atom
calculated formation energy: -1.91 kcal/mol of atoms
V: 219.8 Å³/cell

```
data_MnVReTc
_cell_length_a 6.035
_cell_length_b 6.035
_cell_length_c 6.035
_cell_angle_alpha 90.00
_cell_angle_beta 90.00
_cell_angle_gamma 90.00
_symmetry_space_group_name_H-M 'F -4 3 m'
_symmetry_Int_Tables_number 216
_symmetry_space_group_name_Hall 'F -4 2 3'
loop_
_atom_site_label
_atom_site_fract_x
_atom_site_fract_y
_atom_site_fract_z
Mn1 0.000 0.000 0.000
V1 0.000 0.000 0.500
Re1 0.250 0.250 0.250
Tc1 0.250 0.250 0.750
```



[6]
VASP calculation (GGA-PBE) on a relaxed Mn2ReTe crystal.

Values from the calculation:
spin magnetization: 0.000 μB per formula unit
raw formation energy: 1031 meV per atom
calculated total energy: -119.21 eV for the cell shown
N(E_F): 0.876 states/eV per atom
V: 335.1 Å³/cell

```
data_Mn2ReTe
_cell_length_a 5.524
_cell_length_b 5.524
_cell_length_c 10.983
_cell_angle_alpha 90.00
_cell_angle_beta 90.00
_cell_angle_gamma 90.00
_symmetry_space_group_name_H-M 'I -4 2 d'
_symmetry_Int_Tables_number 122
_symmetry_space_group_name_Hall 'I -4 2bw'
loop_
_atom_site_label
_atom_site_fract_x
_atom_site_fract_y
_atom_site_fract_z
Mn1 0.219 0.250 0.125
Re1 0.000 0.000 0.000
Te1 0.000 0.000 0.500
```



[7]
VASP calculation (GGA-PBE) on a relaxed Mn2ReTe crystal.

Values from the calculation:
spin magnetization: 5.361 μB per formula unit
raw formation energy: 446 meV per atom
calculated total energy: -32.15 eV for the cell shown
N(E_F): 1.099 states/eV per atom
V: 62.5 Å³/cell

```
data_Mn2ReTe
_cell_length_a 3.273
_cell_length_b 3.273
_cell_length_c 5.836
_cell_angle_alpha 90.00
_cell_angle_beta 90.00
_cell_angle_gamma 90.00
_symmetry_space_group_name_H-M 'P 4 m m'
_symmetry_Int_Tables_number 99
_symmetry_space_group_name_Hall 'P 4 -2'
loop_
_atom_site_label
_atom_site_fract_x
_atom_site_fract_y
_atom_site_fract_z
Mn1 0.000 0.000 0.000
Mn2 0.500 0.500 0.222
Re1 0.000 0.000 0.439
Te1 0.500 0.500 0.746
```



[8]
VASP calculation (GGA-PBE) on a relaxed MnReTe crystal.

Values from the calculation:
spin magnetization: 2.453 μB per formula unit
raw formation energy: 611 meV per atom
offset from the most stable computed form: 159.0 meV per atom
calculated total energy: -45.86 eV for the cell shown
N(E_F): 0.766 states/eV per atom
V: 99.9 Å³/cell

```
data_MnReTe
_cell_length_a 3.230
_cell_length_b 3.230
_cell_length_c 9.573
_cell_angle_alpha 90.00
_cell_angle_beta 90.00
_cell_angle_gamma 90.00
_symmetry_space_group_name_H-M 'I 4 m m'
_symmetry_Int_Tables_number 107
_symmetry_space_group_name_Hall 'I 4 -2'
loop_
_atom_site_label
_atom_site_fract_x
_atom_site_fract_y
_atom_site_fract_z
Mn1 0.000 0.000 0.000
Re1 0.000 0.000 0.648
Te1 0.000 0.000 0.327
```



Q: Which of these has the highest calculated total energy?
A: number 7



Copy entry 8 word for word.
VASP calculation (GGA-PBE) on a relaxed MnReTe crystal.

Values from the calculation:
spin magnetization: 2.453 μB per formula unit
raw formation energy: 611 meV per atom
offset from the most stable computed form: 159.0 meV per atom
calculated total energy: -45.86 eV for the cell shown
N(E_F): 0.766 states/eV per atom
V: 99.9 Å³/cell

```
data_MnReTe
_cell_length_a 3.230
_cell_length_b 3.230
_cell_length_c 9.573
_cell_angle_alpha 90.00
_cell_angle_beta 90.00
_cell_angle_gamma 90.00
_symmetry_space_group_name_H-M 'I 4 m m'
_symmetry_Int_Tables_number 107
_symmetry_space_group_name_Hall 'I 4 -2'
loop_
_atom_site_label
_atom_site_fract_x
_atom_site_fract_y
_atom_site_fract_z
Mn1 0.000 0.000 0.000
Re1 0.000 0.000 0.648
Te1 0.000 0.000 0.327
```



Q: Which value of V does entry 8 give?
A: 99.9 Å³/cell